(1)
Here is a geometry-optimized BaCaHo structure from Alexandria via LeMat-Bulk. Energies are from PBE-GGA.

As for the volume: 42.785 Å³/atom. The calculation puts the formation energy at 0.202 eV per atom. Its total energy is -7.90 eV per cell. Its symmetry is I4mm, No. 107. As for the density: 4.43 g cm⁻³. The value obtained for the spin magnetization is 0.00 μB per cell. The energy above the most stable polymorph in this dataset is 0.009 eV/atom.

a = 4.167 Å, b = 4.167 Å, c = 7.957 Å
α = 105.18°, β = 105.18°, γ = 90.00°
Sites, in units of the cell vectors:
Ba1 0.994 0.994 0.989
Ho1 0.322 0.322 0.644
Ca1 0.683 0.683 0.367

=====

(2)
Here is a geometry-optimized BaCa2Ho structure from Alexandria via LeMat-Bulk. Energies are from PBE-GGA.

As for the volume: 41.553 Å³/atom. The calculation puts the formation energy at 0.206 eV per atom. Its total energy is -9.68 eV per cell. Its symmetry is R-3m, No. 166. As for the density: 3.82 g cm⁻³. The value obtained for the spin magnetization is 0.43 μB per cell. The energy above the most stable polymorph in this dataset is 0.084 eV/atom.

a = 3.786 Å, b = 3.786 Å, c = 13.567 Å
α = 81.98°, β = 81.98°, γ = 60.00°
Each line ends with the local moment (μB).
Sites, in units of the cell vectors:
Ca1 0.092 0.092 0.724  0.02
Ca2 0.908 0.908 0.276  0.02
Ho1 0.500 0.500 0.500  0.20
Ba1 0.000 0.000 0.000  0.00

=====

(3)
Here is a geometry-optimized BaCaHo structure from Alexandria via LeMat-Bulk. Energies are from PBE-GGA.

As for the volume: 41.778 Å³/atom. The calculation puts the formation energy at 0.201 eV per atom. Its total energy is -15.80 eV per cell. Its symmetry is Amm2, No. 38. As for the density: 4.54 g cm⁻³. The value obtained for the spin magnetization is 0.82 μB per cell. The energy above the most stable polymorph in this dataset is 0.008 eV/atom.

a = 3.872 Å, b = 3.875 Å, c = 19.283 Å
α = 90.00°, β = 90.00°, γ = 119.98°
Each line ends with the local moment (μB).
Sites, in units of the cell vectors:
Ho1 0.277 0.554 0.153  0.20
Ho2 0.277 0.554 0.847  0.20
Ba1 0.611 0.222 0.681  0.01
Ba2 0.611 0.222 0.319  0.01
Ca1 0.610 0.219 0.000  0.05
Ca2 0.281 0.561 0.500  -0.01

=====

(4)
Here is a geometry-optimized BaCa2Ho structure from Alexandria via LeMat-Bulk. Energies are from PBE-GGA.

As for the volume: 41.640 Å³/atom. The calculation puts the formation energy at 0.182 eV per atom. Its total energy is -9.78 eV per cell. Its symmetry is P4/mmm, No. 123. As for the density: 3.81 g cm⁻³. The value obtained for the spin magnetization is 0.00 μB per cell. The energy above the most stable polymorph in this dataset is 0.059 eV/atom.

a = 4.307 Å, b = 6.219 Å, c = 6.219 Å
α = 90.00°, β = 90.00°, γ = 90.00°
Sites, in units of the cell vectors:
Ca1 0.000 0.000 0.500
Ca2 0.000 0.500 0.000
Ho1 0.500 0.500 0.500
Ba1 0.500 0.000 0.000